## MgNbCu (PBE)

Data for MgNbCu after structural relaxation.

magnetization	0.00	μB/atom
polymorph energy (0 for the lowest one)	0.000	eV/atom
calculated formation energy	43	meV/atom

Lattice parameters (Å, degrees): 3.205 4.363 7.336 90.00 102.49 90.00
Space group P2_1 (No. 4)
Unique sites:
1 Mg 0.073 0.000 0.145 (multiplicity 2)
2 Nb 0.245 0.501 0.489 (multiplicity 2)
3 Cu 0.409 0.000 0.820 (multiplicity 2)